#A
RbNaTl2Pb: relaxed, PBE-GGA.

Cell lengths 6.2481, 6.2481, 5.7165 Å; angles 90.00, 90.00, 90.00 degrees
Last column: nearest neighbours and their distance in Å.
Space group P4/mmm (No. 123)
Symmetry-distinct sites (fractional):
Rb (0.0000, 0.0000, 0.0000) x1  2 Na 2.86, 4 Tl 3.12
Na (0.0000, 0.0000, 0.5000) x1  2 Rb 2.86
Tl (0.0000, 0.5000, 0.0000) x2  2 Rb 3.12
Pb (0.5000, 0.5000, 0.5000) x1  8 Tl 4.23, 4 Na 4.42

Summary:
Fermi-level density of states   1.1758 states/eV/atom

=====

#B
RbNaTl2Pb: relaxed, PBE-GGA.

Cell lengths 6.8785, 7.0261, 7.6510 Å; angles 90.00, 90.00, 90.00 degrees
Last column: nearest neighbours and their distance in Å.
Space group Pmma (No. 51)
Symmetry-distinct sites (fractional):
Rb (0.2500, 0.0000, 0.1995) x2  2 Na 3.73, 6 Tl 3.90-4.05
Na (0.2500, 0.5000, 0.3651) x2  2 Tl 3.25, 2 Pb 3.28
Tl (0.2500, 0.2473, 0.7207) x4  1 Na 3.25, 2 Pb 3.27, 2 Tl 3.48-3.55
Pb (0.0000, 0.5000, 0.0000) x2  4 Tl 3.27, 2 Na 3.28, 2 Pb 3.44

Summary:
Fermi-level density of states   0.4337 states/eV/atom

=====

The structure with the most favorable energy is #B; the runner-up is 761 meV/atom above it.

=====

#A
NaRePb3: relaxed, PBE-GGA.

Cell lengths 5.3835, 5.3835, 5.3835 Å; angles 90.00, 90.00, 90.00 degrees
Last column: nearest neighbours and their distance in Å.
Space group Pm-3m (No. 221)
Symmetry-distinct sites (fractional):
Na (0.0000, 0.0000, 0.0000) x1  6 Pb 2.69
Re (0.5000, 0.5000, 0.5000) x1  12 Pb 3.81
Pb (0.0000, 0.0000, 0.5000) x3  2 Na 2.69

Summary:
Fermi-level density of states   0.9875 states/eV/atom

=====

#B
NaRePb3: relaxed, PBE-GGA.

Cell lengths 5.4125, 5.4125, 5.4125 Å; angles 90.00, 90.00, 90.00 degrees
Last column: nearest neighbours and their distance in Å.
Space group Pm-3m (No. 221)
Symmetry-distinct sites (fractional):
Na (0.0000, 0.0000, 0.0000) x1  12 Pb 3.83
Re (0.5000, 0.5000, 0.5000) x1  6 Pb 2.71
Pb (0.0000, 0.5000, 0.5000) x3  2 Re 2.71

Summary:
Fermi-level density of states   0.7383 states/eV/atom

=====

The structure with the most favorable energy is #B; the runner-up is 1116 meV/atom above it.

=====

#A
NaRePb2: relaxed, PBE-GGA.

Cell lengths 7.0182, 7.0182, 7.0182 Å; angles 90.00, 90.00, 90.00 degrees
Last column: nearest neighbours and their distance in Å.
Space group Fm-3m (No. 225)
Symmetry-distinct sites (fractional):
Na (0.0000, 0.0000, 0.0000) x4  8 Pb 3.04
Re (0.0000, 0.0000, 0.5000) x4  8 Pb 3.04
Pb (0.2500, 0.2500, 0.2500) x8  4 Na 3.04, 4 Re 3.04

Summary:
Fermi-level density of states   0.8320 states/eV/atom

=====

#B
NaRePb2: relaxed, PBE-GGA.

Cell lengths 6.2590, 6.2590, 16.0014 Å; angles 90.00, 90.00, 90.00 degrees
Last column: nearest neighbours and their distance in Å.
Space group I-42d (No. 122)
Symmetry-distinct sites (fractional):
Na (0.0000, 0.0000, 0.0000) x4  4 Pb 3.57
Re (0.0000, 0.0000, 0.5000) x4  4 Pb 2.61
Pb (0.0983, 0.2500, 0.6250) x8  2 Re 2.61

Summary:
Fermi-level density of states   0.2782 states/eV/atom

=====

The structure with the most favorable energy is #A; the runner-up is 250 meV/atom above it.